! VSiNO2 (PBE with a Hubbard U, relaxed); values from VASP
&SYSTEM
  ibrav = 0, nat = 5, ntyp = 4
/
ATOMIC_SPECIES
V 50.94 V.upf
Si 28.09 Si.upf
N 14.01 N.upf
O 16.00 O.upf
CELL_PARAMETERS angstrom
3.7170 0.0000 0.0000
0.0000 3.7170 0.0000
0.0000 0.0000 3.9806
ATOMIC_POSITIONS crystal
V 0.0000 0.0000 0.0000
Si 0.5000 0.5000 0.5000
N 0.0000 0.0000 0.5000
O 0.0000 0.5000 0.0000
O 0.5000 0.0000 0.0000
! Total energy (eV/cell): -33.08
! M_tot (μB per cell): 0.00